! CeNp2Ni9 PBE optimized geometry; values from VASP
! **Energy of formation**: -0.25 eV per atom
! **D(E_F)**: 1.768 states/eV/atom
! **Space-group type**: No. 194
&SYSTEM
  ibrav = 0, nat = 24, ntyp = 3
/
ATOMIC_SPECIES
Ce 140.12 Ce.upf
Np 237.00 Np.upf
Ni 58.69 Ni.upf
CELL_PARAMETERS angstrom
4.8986 0.0000 0.0000
-2.4493 4.2423 0.0000
0.0000 0.0000 16.3439
ATOMIC_POSITIONS angstrom
Ce 0.0000 2.8282 4.0860
Ce 2.4493 1.4141 12.2579
Np 0.0000 2.8282 0.5319
Np 0.0000 2.8282 7.6401
Np 2.4493 1.4141 8.7039
Np 2.4493 1.4141 15.8120
Ni 0.0000 0.0000 0.0000
Ni 0.0000 0.0000 4.0860
Ni 0.0000 0.0000 8.1720
Ni 0.0000 0.0000 12.2579
Ni 0.0000 1.4142 10.2249
Ni 0.0000 1.4142 14.2910
Ni -1.2246 3.5353 10.2249
Ni -1.2246 3.5353 14.2910
Ni 1.2247 0.7071 2.0529
Ni 1.2247 0.7071 6.1190
Ni 0.0000 2.8282 12.2579
Ni 2.4493 1.4141 4.0860
Ni 1.2246 3.5353 10.2249
Ni 1.2246 3.5353 14.2910
Ni 3.6739 0.7071 2.0529
Ni 3.6739 0.7071 6.1190
Ni 2.4493 2.8282 2.0529
Ni 2.4493 2.8282 6.1190